## Rb3Np3US8 (PBE)

Data for a relaxed structure of Rb3Np3US8. Values from VASP.

The structure in Quantum ESPRESSO input format:
```
&SYSTEM
  ibrav = 0, nat = 15, ntyp = 4
/
ATOMIC_SPECIES
Rb 85.47 Rb.upf
Np 237.00 Np.upf
U 238.03 U.upf
S 32.06 S.upf
CELL_PARAMETERS angstrom
4.065 2.347 7.803
-4.065 2.347 7.803
0.000 -4.694 7.803
ATOMIC_POSITIONS angstrom
Rb -2.033 -1.174 7.803
Rb -2.033 1.174 15.606
Rb 0.000 2.347 7.803
Np -4.065 0.000 11.705
Np -2.033 1.174 3.902
Np 2.033 1.174 3.902
U 0.000 0.000 11.705
S 0.000 0.000 5.379
S -2.004 -1.157 13.147
S 0.000 -2.314 10.262
S -2.004 1.157 10.262
S 2.004 -1.157 13.147
S 0.000 2.314 13.147
S 2.004 1.157 10.262
S 0.000 0.000 18.030
```

Summary:
formation energy (no corrections)	-21.08	eV per formula unit
energy	-7.141	eV/atom
N(E_F)	2.138	states/eV/atom